# 1
PBE LiCIF2, relaxed; raw formation energy = -74 meV per atom; space-group type = No. 123; magnetization = 0.5 μB per formula unit
1.0
3.547 0.000 0.000
0.000 3.547 0.000
0.000 0.000 6.166
Li C I F
1 1 1 2
Cartesian
0.000 0.000 0.000
1.774 1.774 3.083
0.000 0.000 3.083
0.000 1.774 0.000
1.774 0.000 0.000

# 2
PBE NpCuI2, relaxed; raw formation energy = 259 meV per atom; space-group type = No. 166; magnetization = 5.4 μB per formula unit
1.0
1.951 1.126 9.462
-1.951 1.126 9.462
0.000 -2.253 9.462
Np Cu I
1 1 2
Cartesian
0.000 0.000 0.000
0.000 0.000 14.194
0.000 0.000 3.079
0.000 0.000 25.308

# 3
PBE TiTlSe3, relaxed; raw formation energy = -722 meV per atom; space-group type = No. 12; magnetization = 0.0 μB per formula unit
1.0
7.808 -2.428 0.000
7.808 2.428 0.000
-2.108 0.000 8.355
Ti Tl Se
2 2 6
Cartesian
1.731 0.000 3.146
11.778 0.000 5.209
5.389 0.000 1.329
8.119 0.000 7.026
-1.316 0.000 5.342
2.128 0.000 0.886
4.023 0.000 4.305
9.485 0.000 4.050
11.381 0.000 7.469
14.824 0.000 3.013

# 4
PBE TiZn2Pt, relaxed; energy relative to the elements = -78 meV per atom; space-group type = No. 122; magnetization = 0.0 μB per formula unit
1.0
-3.609 3.609 2.577
3.609 -3.609 2.577
3.609 3.609 -2.577
Ti Zn Pt
2 4 2
Cartesian
0.000 0.000 0.000
0.000 3.609 1.289
1.805 -1.674 1.933
1.936 1.805 0.644
1.805 5.283 -0.644
1.674 1.805 3.221
3.609 0.000 1.289
0.000 0.000 2.577

# 5
PBE Ce12GaRu7, relaxed; energy relative to the elements = -278 meV per atom; space-group type = No. 148; magnetization = 0.0 μB per formula unit
1.0
6.820 3.937 2.733
-6.820 3.937 2.733
0.000 -7.875 2.733
Ce Ga Ru
12 1 7
Cartesian
-2.122 -0.358 2.237
-1.181 -3.379 3.373
1.371 -1.659 2.237
-3.517 -0.667 4.827
-2.335 2.712 3.373
0.751 2.017 2.237
-0.751 -2.017 5.962
2.335 -2.712 4.827
3.516 0.667 3.373
-1.371 1.659 5.962
1.181 3.379 4.827
2.122 0.358 5.962
0.000 0.000 0.000
-1.949 -5.946 3.487
-6.124 -1.285 4.712
-4.174 4.661 3.487
0.000 0.000 4.100
4.174 -4.661 4.712
6.124 1.285 3.487
1.949 5.946 4.712

# 6
PBE PmBi4Rh4, relaxed; energy relative to the elements = -178 meV per atom; space-group type = No. 86; magnetization = 0.0 μB per formula unit
1.0
8.995 0.000 0.000
0.000 8.995 0.000
0.000 0.000 5.454
Pm Bi Rh
2 8 8
Cartesian
2.249 2.249 1.364
6.746 6.746 4.091
0.785 5.756 0.855
1.259 8.210 3.582
3.238 5.282 3.582
3.713 7.736 0.855
5.282 1.259 4.599
5.756 3.713 1.872
7.736 0.785 1.872
8.210 3.238 4.599
0.312 5.600 3.562
1.103 8.683 0.835
3.395 4.810 0.835
4.185 7.892 3.562
4.810 1.103 1.892
5.600 4.185 4.619
7.892 0.312 4.619
8.683 3.395 1.892

# 7
PBE Y2ZrAg, relaxed; energy relative to the elements = 37 meV per atom; distance to the lowest polymorph of the same formula = 0.152 eV per atom; space-group type = No. 160; magnetization = 0.0 μB per formula unit
1.0
1.734 1.001 10.146
-1.734 1.001 10.146
0.000 -2.002 10.146
Y Zr Ag
2 1 1
Cartesian
0.000 0.000 0.000
0.000 0.000 5.281
0.000 0.000 22.936
0.000 0.000 17.858

# 8
PBE CeScCu4, relaxed; energy relative to the elements = -127 meV per atom; distance to the lowest polymorph of the same formula = 0.101 eV per atom; space-group type = No. 216; magnetization = 0.7 μB per formula unit
1.0
0.000 3.661 3.661
3.661 0.000 3.661
3.661 3.661 0.000
Ce Sc Cu
1 1 4
Cartesian
0.000 0.000 0.000
5.492 5.492 5.492
2.756 2.756 2.756
4.566 4.566 2.756
4.566 2.756 4.566
2.756 4.566 4.566

# 9
PBE PrErMnAl, relaxed; energy relative to the elements = -28 meV per atom; space-group type = No. 216; magnetization = 3.3 μB per formula unit
1.0
0.000 3.649 3.649
3.649 0.000 3.649
3.649 3.649 0.000
Pr Er Mn Al
1 1 1 1
Cartesian
0.000 0.000 0.000
3.649 3.649 3.649
1.825 1.825 1.825
5.474 5.474 5.474

# 10
PBE CdPdAu14, relaxed; energy relative to the elements = -42 meV per atom; space-group type = No. 38; magnetization = 0.0 μB per formula unit
1.0
9.607 0.000 0.000
0.000 2.998 5.008
0.000 -2.998 5.008
Cd Pd Au
1 1 14
Cartesian
0.000 0.000 0.000
0.000 0.000 5.003
0.000 -1.490 7.507
0.000 1.490 7.507
2.371 0.000 3.287
2.385 -1.487 5.783
2.385 1.487 5.783
2.402 0.000 8.296
4.804 0.000 1.564
4.804 -1.495 4.070
4.804 1.495 4.070
4.804 0.000 6.576
7.205 0.000 8.296
7.222 -1.487 5.783
7.222 1.487 5.783
7.237 0.000 3.287

# 11
PBE La4CeS6, relaxed; raw formation energy = -2102 meV per atom; space-group type = No. 63; magnetization = 1.1 μB per formula unit
1.0
2.030 -6.864 0.000
2.030 6.864 0.000
0.000 0.000 20.602
La Ce S
8 2 12
Cartesian
2.030 5.615 13.001
2.030 5.615 17.902
2.030 1.905 11.166
2.030 1.905 19.736
2.030 -1.905 0.866
2.030 -1.905 9.435
2.030 -5.615 2.700
2.030 -5.615 7.601
2.030 4.740 5.150
2.030 -4.740 15.451
0.000 0.000 0.000
0.000 0.000 10.301
2.030 4.116 15.451
2.030 3.152 1.876
2.030 3.152 8.425
2.030 0.696 13.810
2.030 0.696 17.093
2.030 -0.696 3.509
2.030 -0.696 6.792
2.030 -3.152 12.177
2.030 -3.152 18.726
2.030 -4.116 5.150

# 12
PBE KRb5Na2O, relaxed; raw formation energy = -333 meV per atom; space-group type = No. 107; magnetization = 0.0 μB per formula unit
1.0
-4.474 4.474 6.255
4.474 -4.474 6.255
4.474 4.474 -6.255
K Rb Na O
1 5 2 1
Cartesian
0.000 0.000 0.000
0.000 0.000 5.453
1.990 1.990 2.674
2.484 -2.484 8.929
-2.484 2.484 8.929
2.484 2.484 8.929
4.474 0.000 5.806
0.000 4.474 5.806
0.000 0.000 2.655

What is the formula in the twelfth record?
KRb5Na2O